Record 1
VASP calculation (PBE) on an optimized crystal structure of ZrNbO3.

Values from the calculation:
- VASP energy: -8.46 eV per atom
- SG: No. 221
- Energy relative to the elements, uncorrected: -1.764 eV per atom

Lattice parameters (Å, degrees): 4.0016 4.0016 4.0016 90.00 90.00 90.00
Last column: magnetic moment on the atom in μB.
Sites, in units of the cell vectors:
Nb1 0.0000 0.0000 0.0000  0.09
O1 0.0000 0.5000 0.0000  0.00
O2 0.0000 0.0000 0.5000  0.00
O3 0.5000 0.0000 0.0000  0.00
Zr1 0.5000 0.5000 0.5000  1.20



Record 2
VASP calculation (PBE) on an optimized crystal structure of ZrNbO2.

Values from the calculation:
- VASP energy: -9.12 eV per atom
- Energy above the most stable polymorph in this dataset: 0.000 eV per atom
- SG: No. 166
- Energy relative to the elements, uncorrected: -1.988 eV per atom

Lattice parameters (Å, degrees): 6.1062 6.1062 6.1062 32.65 32.65 32.65
Sites, in units of the cell vectors:
Nb1 0.0000 0.0000 0.0000
O1 0.8802 0.8802 0.8802
O2 0.1198 0.1198 0.1198
Zr1 0.5000 0.5000 0.5000



Record 3
VASP calculation (PBE) on an optimized crystal structure of Zr2NbO.

Values from the calculation:
- VASP energy: -8.85 eV per atom
- SG: No. 123
- Energy relative to the elements, uncorrected: -0.815 eV per atom

Lattice parameters (Å, degrees): 2.8726 2.8726 7.9664 90.00 90.00 90.00
Sites, in units of the cell vectors:
Nb1 0.5000 0.5000 0.5000
O1 0.5000 0.5000 0.0000
Zr1 0.0000 0.0000 0.8099
Zr2 0.0000 0.0000 0.1901



Record 4
VASP calculation (PBE) on an optimized crystal structure of NbOs.

Values from the calculation:
- VASP energy: -9.00 eV per atom
- DFT formation energy: 1651.8 meV per atom
- SG: No. 223

Lattice parameters (Å, degrees): 7.1045 7.1045 7.1045 90.00 90.00 90.00
Sites, in units of the cell vectors:
Nb1 0.2500 0.5000 0.0000
Nb2 0.7500 0.5000 0.0000
Nb3 0.5000 0.0000 0.2500
Nb4 0.5000 0.0000 0.7500
Nb5 0.0000 0.2500 0.5000
Nb6 0.0000 0.7500 0.5000
Os1 0.2500 0.0000 0.5000
Os2 0.7500 0.0000 0.5000
Os3 0.0000 0.5000 0.2500
Os4 0.0000 0.5000 0.7500
Os5 0.5000 0.2500 0.0000
Os6 0.5000 0.7500 0.0000



Record 5
VASP calculation (PBE) on an optimized crystal structure of Nb13Os3.

Values from the calculation:
- VASP energy: -10.45 eV per atom
- DFT formation energy: -166.6 meV per atom
- SG: No. 38

Lattice parameters (Å, degrees): 6.5178 6.5178 6.5317 90.00 90.00 89.84
Sites, in units of the cell vectors:
Nb1 0.5035 0.0032 0.2473
Nb2 0.5020 0.4980 0.2476
Nb3 0.9968 0.4965 0.2473
Nb4 0.7563 0.7592 0.0000
Nb5 0.2408 0.2437 0.0000
Nb6 0.2468 0.7532 0.0000
Nb7 0.5035 0.0032 0.7527
Nb8 0.5020 0.4980 0.7524
Nb9 0.9968 0.4965 0.7527
Nb10 0.7561 0.2439 0.5000
Nb11 0.7545 0.7520 0.5000
Nb12 0.2480 0.2455 0.5000
Nb13 0.2474 0.7526 0.5000
Os1 0.0013 0.9987 0.2513
Os2 0.7429 0.2571 0.0000
Os3 0.0013 0.9987 0.7487



Record 6
VASP calculation (PBE) on an optimized crystal structure of NbOs.

Values from the calculation:
- VASP energy: -9.83 eV per atom
- DFT formation energy: 824.1 meV per atom
- SG: No. 194

Lattice parameters (Å, degrees): 4.3968 4.3968 5.2389 90.00 90.00 120.00
Sites, in units of the cell vectors:
Nb1 0.3333 0.6667 0.2500
Nb2 0.6667 0.3333 0.7500
Os1 0.3333 0.6667 0.7500
Os2 0.6667 0.3333 0.2500



Record 7
VASP calculation (PBE) on an optimized crystal structure of NbOs.

Values from the calculation:
- VASP energy: -10.56 eV per atom
- DFT formation energy: 89.9 meV per atom
- SG: No. 63

Lattice parameters (Å, degrees): 6.6316 6.6316 5.5814 90.00 90.00 145.04
Sites, in units of the cell vectors:
Nb1 0.0385 0.9615 0.7500
Nb2 0.9615 0.0385 0.2500
Nb3 0.7782 0.2218 0.7500
Nb4 0.2218 0.7782 0.2500
Os1 0.3905 0.6095 0.5168
Os2 0.6095 0.3905 0.4832
Os3 0.3905 0.6095 0.9832
Os4 0.6095 0.3905 0.0168



Record 8
VASP calculation (PBE) on an optimized crystal structure of NbOs.

Values from the calculation:
- VASP energy: -10.14 eV per atom
- DFT formation energy: 505.6 meV per atom
- SG: No. 87

Lattice parameters (Å, degrees): 9.8221 9.8221 3.1207 90.00 90.00 90.00
Sites, in units of the cell vectors:
Nb1 0.3582 0.8517 0.0000
Nb2 0.6418 0.1483 0.0000
Nb3 0.1483 0.3582 0.0000
Nb4 0.8517 0.6418 0.0000
Nb5 0.8582 0.3517 0.5000
Nb6 0.1418 0.6483 0.5000
Nb7 0.6483 0.8582 0.5000
Nb8 0.3517 0.1418 0.5000
Os1 0.4236 0.3295 0.0000
Os2 0.5764 0.6705 0.0000
Os3 0.6705 0.4236 0.0000
Os4 0.3295 0.5764 0.0000
Os5 0.9236 0.8295 0.5000
Os6 0.0764 0.1705 0.5000
Os7 0.1705 0.9236 0.5000
Os8 0.8295 0.0764 0.5000



> Which value of VASP energy does entry 3 give?

-8.85 eV per atom



> What is the formula in the first record?

ZrNbO3